# 1
# CdAg2Sb | Alexandria | GGA-PBE | optimized geometry
data_CdAg2Sb
_chemical_formula_sum 'Cd3 Ag6 Sb3'
_space_group_name_H-M_alt 'R 3 m'
_space_group_IT_number 160
_space_group_name_Hall 'R 3 -2"'
_cell_length_a 4.6760
_cell_length_b 4.6760
_cell_length_c 14.8554
_cell_angle_alpha 90.00
_cell_angle_beta 90.00
_cell_angle_gamma 120.00
loop_
_atom_site_label
_atom_site_type_symbol
_atom_site_fract_x
_atom_site_fract_y
_atom_site_fract_z
Cd1 Cd 0.0000 0.0000 0.0000
Ag1 Ag 0.0000 0.0000 0.4094
Ag2 Ag 0.0000 0.0000 0.6041
Sb1 Sb 0.0000 0.0000 0.2014
# N(E_F)   1.667 states/eV/f.u.
# Formation energy without anion corrections   107 meV per atom
# Raw total energy   -10.3 eV/f.u.
# Energy relative to the lowest polymorph listed for this composition   0.062 eV per atom

---

# 2
# Sc2BeRh | Alexandria | GGA-PBE | optimized geometry
data_Sc2BeRh
_chemical_formula_sum 'Sc6 Be3 Rh3'
_space_group_name_H-M_alt 'R -3 m'
_space_group_IT_number 166
_space_group_name_Hall '-R 3 2"'
_cell_length_a 3.1966
_cell_length_b 3.1966
_cell_length_c 23.7693
_cell_angle_alpha 90.00
_cell_angle_beta 90.00
_cell_angle_gamma 120.00
loop_
_atom_site_label
_atom_site_type_symbol
_atom_site_fract_x
_atom_site_fract_y
_atom_site_fract_z
Sc1 Sc 0.0000 0.0000 0.2501
Be1 Be 0.0000 0.0000 0.0000
Rh1 Rh 0.0000 0.0000 0.5000
# Energy of formation from the pure elements   -0.1732 eV per atom
# N(E_F)   1.974 states/eV/f.u.
# Raw total energy   -24.4 eV/f.u.

---

# 3
# HfTiAu2 | Alexandria | GGA-PBE | optimized geometry
data_HfTiAu2
_chemical_formula_sum 'Hf4 Ti4 Au8'
_space_group_name_H-M_alt 'I -4 2 d'
_space_group_IT_number 122
_space_group_name_Hall 'I -4 2bw'
_cell_length_a 7.523
_cell_length_b 7.523
_cell_length_c 5.549
_cell_angle_alpha 90.00
_cell_angle_beta 90.00
_cell_angle_gamma 90.00
loop_
_atom_site_label
_atom_site_type_symbol
_atom_site_fract_x
_atom_site_fract_y
_atom_site_fract_z
Hf1 Hf 0.000 0.000 0.000
Ti1 Ti 0.000 0.000 0.500
Au1 Au 0.234 0.750 0.625
# Energy of formation from the pure elements   -0.0042 eV per atom
# N(E_F)   4.290 states/eV/f.u.
# Raw total energy   -24.4 eV/f.u.
# Energy relative to the lowest polymorph listed for this composition   0.385 eV per atom

---

# 4
# NpAg6F12 | Alexandria | GGA-PBE | optimized geometry
data_NpAg6F12
_chemical_formula_sum 'Np3 Ag18 F36'
_space_group_name_H-M_alt 'R -3'
_space_group_IT_number 148
_space_group_name_Hall '-R 3'
_cell_length_a 10.5940
_cell_length_b 10.5940
_cell_length_c 10.1608
_cell_angle_alpha 90.00
_cell_angle_beta 90.00
_cell_angle_gamma 120.00
loop_
_atom_site_label
_atom_site_type_symbol
_atom_site_fract_x
_atom_site_fract_y
_atom_site_fract_z
Np1 Np 0.0000 0.0000 0.0000
Ag1 Ag 0.0232 0.2368 0.6351
F1 F 0.0090 0.2252 0.3907
F2 F 0.0308 0.1742 0.8816
# N(E_F)   19.564 states/eV/f.u.
# Formation energy without anion corrections   -1736 meV per atom
# Raw total energy   -85.5 eV/f.u.

---

# 5
# Be3Hg | Alexandria | GGA-PBE | optimized geometry
data_Be3Hg
_chemical_formula_sum 'Be12 Hg4'
_space_group_name_H-M_alt 'F m -3 m'
_space_group_IT_number 225
_space_group_name_Hall '-F 4 2 3'
_cell_length_a 5.736
_cell_length_b 5.736
_cell_length_c 5.736
_cell_angle_alpha 90.00
_cell_angle_beta 90.00
_cell_angle_gamma 90.00
loop_
_atom_site_label
_atom_site_type_symbol
_atom_site_fract_x
_atom_site_fract_y
_atom_site_fract_z
Be1 Be 0.000 0.000 0.000
Be2 Be 0.250 0.250 0.250
Hg1 Hg 0.000 0.000 0.500
# Energy of formation from the pure elements   0.5414 eV per atom
# N(E_F)   1.434 states/eV/f.u.
# Raw total energy   -9.3 eV/f.u.
# Energy relative to the lowest polymorph listed for this composition   0.276 eV per atom

---

# 6
# Ta2BMoRh | Alexandria | GGA-PBE | optimized geometry
data_Ta2BMoRh
_chemical_formula_sum 'Ta2 B1 Mo1 Rh1'
_space_group_name_H-M_alt 'P 4/m m m'
_space_group_IT_number 123
_space_group_name_Hall '-P 4 2'
_cell_length_a 4.749
_cell_length_b 4.749
_cell_length_c 4.664
_cell_angle_alpha 90.00
_cell_angle_beta 90.00
_cell_angle_gamma 90.00
loop_
_atom_site_label
_atom_site_type_symbol
_atom_site_fract_x
_atom_site_fract_y
_atom_site_fract_z
Ta1 Ta 0.000 0.500 0.000
B1 B 0.000 0.000 0.500
Mo1 Mo 0.500 0.500 0.500
Rh1 Rh 0.500 0.500 0.000
# Energy of formation from the pure elements   2.0794 eV per atom
# N(E_F)   4.591 states/eV/f.u.
# Raw total energy   -38.2 eV/f.u.